The following is a PBE calculation of a relaxed LuPaReRu crystal, from Alexandria via LeMat-Bulk.

The calculation puts the energy of formation from the pure elements at -0.253 eV per atom. As for the total energy: -147.02 eV/cell. The calculation puts the calculated volume at 19.758 Å³/atom.

The space group is F-43m (No. 216) and the conventional cell measures 6.8122, 6.8122 and 6.8122 Å, with angles of 90.00, 90.00 and 90.00 degrees. Symmetry generates all atoms from Lu at (0.0000, 0.0000, 0.0000), Pa at (0.0000, 0.0000, 0.5000), Re at (0.2500, 0.2500, 0.2500) and Ru at (0.2500, 0.2500, 0.7500).

=====

The following is a PBE calculation of a relaxed LuScPaRe crystal, from Alexandria via LeMat-Bulk.

The calculation puts the energy of formation from the pure elements at 0.084 eV per atom. As for the total energy: -129.85 eV/cell. The calculation puts the calculated volume at 21.648 Å³/atom.

The space group is F-43m (No. 216) and the conventional cell measures 7.0229, 7.0229 and 7.0229 Å, with angles of 90.00, 90.00 and 90.00 degrees. Symmetry generates all atoms from Lu at (0.0000, 0.0000, 0.0000), Sc at (0.2500, 0.2500, 0.7500), Pa at (0.0000, 0.0000, 0.5000) and Re at (0.2500, 0.2500, 0.2500).

=====

Table of total magnetization (μB/f.u.), in record order: 0.0; 0.0